Entry 1:
Th4SnTe2S PBE optimized geometry; M_tot = 0.0 μB/cell; total energy = -52.87 eV for the cell shown
1.0
7.471 0.000 0.000
0.000 4.389 0.000
-2.606 0.000 7.359
Th Sn Te S
4 1 2 1
Direct
0.214 0.000 0.212
0.228 0.500 0.776
0.772 0.500 0.224
0.786 0.000 0.788
0.500 0.000 0.000
0.000 0.000 0.500
0.500 0.500 0.500
0.000 0.500 0.000

Entry 2:
Ti2SnTeS PBE optimized geometry; M_tot = 2.2 μB/cell; total energy = -23.66 eV for the cell shown
1.0
5.332 0.000 0.000
0.000 5.332 0.000
0.000 0.000 4.802
Ti Sn Te S
2 1 1 1
Direct
0.000 0.500 0.000
0.500 0.000 0.000
0.000 0.000 0.000
0.500 0.500 0.500
0.000 0.000 0.500

Entry 3:
Tl2SnTeS5 PBE optimized geometry; M_tot = 0.0 μB/cell; total energy = -69.36 eV for the cell shown
1.0
1.966 -9.447 0.000
1.966 9.447 0.000
0.000 0.000 13.784
Tl Sn Te S
4 2 2 10
Direct
0.111 0.889 0.500
0.134 0.866 0.136
0.866 0.134 0.636
0.889 0.111 0.000
0.441 0.559 0.249
0.559 0.441 0.749
0.220 0.780 0.852
0.780 0.220 0.352
0.041 0.959 0.858
0.284 0.716 0.477
0.316 0.684 0.204
0.342 0.658 0.821
0.491 0.509 0.606
0.509 0.491 0.106
0.658 0.342 0.321
0.684 0.316 0.704
0.716 0.284 0.977
0.959 0.041 0.358

Entry 4:
Tl2Sn2Te2S PBE optimized geometry; M_tot = 0.0 μB/cell; total energy = -24.66 eV for the cell shown
1.0
4.583 0.000 0.000
0.008 7.489 0.000
2.282 3.710 7.285
Tl Sn Te S
2 2 2 1
Direct
0.015 0.242 0.469
0.985 0.758 0.531
0.306 0.257 0.885
0.694 0.743 0.115
0.340 0.898 0.821
0.660 0.102 0.179
0.500 0.500 0.500